Material: ZrCdFe2
Method: DFT, PBE
State: relaxed

Results
- energy of formation from the pure elements (eV/atom) = 0.3846

Unit cell a=9.303 b=9.303 c=9.303 alpha=18.24 beta=18.24 gamma=18.24
Atoms (fractional coordinates):
Fe: 0.500 0.500 0.500
Fe: 0.000 0.000 0.000
Zr: 0.250 0.250 0.250
Cd: 0.750 0.750 0.750

---

Material: Th8Te4Rh3S
Method: DFT, PBE
State: relaxed

Results
- formation energy without anion corrections (eV per formula unit) = -17.970

Unit cell a=8.397 b=8.955 c=8.397 alpha=117.96 beta=120.00 gamma=90.00
Atoms (fractional coordinates):
Th: 0.238 0.711 0.475
Th: 0.762 0.289 0.525
Th: 0.762 0.289 0.026
Th: 0.736 0.711 0.974
Th: 0.267 0.301 0.534
Th: 0.733 0.699 0.466
Th: 0.238 0.711 0.974
Th: 0.264 0.289 0.026
Te: 0.000 0.000 0.500
Te: 0.500 0.000 0.000
Te: 0.500 0.000 0.500
Te: 0.000 0.000 0.000
Rh: 0.500 0.500 0.500
Rh: 0.500 0.500 0.000
Rh: 0.000 0.500 0.500
S: 0.000 0.500 0.000

---

Material: Th6BiIr
Method: DFT, PBE
State: relaxed

Results
- energy of formation from the pure elements (eV/atom) = -0.1379

Unit cell a=6.599 b=6.599 c=6.601 alpha=102.34 beta=102.34 gamma=102.40
Atoms (fractional coordinates):
Th: 0.398 0.799 0.799
Th: 0.799 0.398 0.799
Th: 0.201 0.201 0.604
Th: 0.799 0.799 0.396
Th: 0.201 0.602 0.201
Th: 0.602 0.201 0.201
Ir: 0.500 0.500 0.500
Bi: 0.000 0.000 0.000

---

Material: TmTh2ScS4
Method: DFT, PBE
State: relaxed

Results
- formation energy without anion corrections (eV per formula unit) = -14.797

Unit cell a=3.835 b=7.060 c=6.586 alpha=71.61 beta=90.00 gamma=90.00
Atoms (fractional coordinates):
Tm: 0.000 0.500 0.500
S: 0.500 0.276 0.747
S: 0.000 0.279 0.235
S: 0.000 0.721 0.765
S: 0.500 0.724 0.253
Th: 0.000 0.000 0.000
Th: 0.500 0.000 0.500
Sc: 0.500 0.500 0.000

---

Magnetic moment / Bohr magnetons per cell: 4.95 0.00 0.00 0.00